[1]
Here is a geometry-optimized YCoSe2N structure from the Alexandria database. Energies are from PBE-GGA.

## Properties
Energy above the lowest structure with this stoichiometry ... 0.00 eV/f.u.
Density of states at the Fermi level ... 2.80 states/eV per cell
Density ... 6.10 g/cm3

Unit cell a=4.964 b=4.964 c=3.535 alpha=90.00 beta=90.00 gamma=90.00
Sites, in units of the cell vectors:
Se 0.000 0.500 0.000
N 0.000 0.000 0.500
Co 0.000 0.000 0.000
Y 0.500 0.500 0.500
Se 0.500 0.000 0.000

[2]
Here is a geometry-optimized ZnCoSeN2 structure from the Alexandria database. Energies are from PBE-GGA.

## Properties
Energy above the lowest structure with this stoichiometry ... 0.00 eV/f.u.
Density of states at the Fermi level ... 3.53 states/eV per cell
Density ... 5.47 g/cm3

Unit cell a=3.595 b=3.595 c=5.428 alpha=90.00 beta=90.00 gamma=90.00
Sites, in units of the cell vectors:
Se 0.000 0.000 0.500
N 0.000 0.500 0.000
Zn 0.500 0.500 0.500
Co 0.000 0.000 0.000
N 0.500 0.000 0.000

[3]
Here is a geometry-optimized ZnCoSeN2 structure from the Alexandria database. Energies are from PBE-GGA.

## Properties
Energy above the lowest structure with this stoichiometry ... 4.09 eV/f.u.
Density of states at the Fermi level ... 6.60 states/eV per cell
Density ... 4.71 g/cm3

Unit cell a=3.722 b=3.722 c=5.887 alpha=90.00 beta=90.00 gamma=90.00
Last column: magnetic moment on the atom in μB.
Sites, in units of the cell vectors:
Zn 0.000 0.000 0.000  0.08
N 0.000 0.500 0.000  0.79
N 0.500 0.000 0.000  0.79
Co 0.500 0.500 0.500  2.05
Se 0.000 0.000 0.500  0.20

[4]
Here is a geometry-optimized ZrCoSe2N structure from the Alexandria database. Energies are from PBE-GGA.

## Properties
Energy above the lowest structure with this stoichiometry ... 0.00 eV/f.u.
Density of states at the Fermi level ... 4.63 states/eV per cell
Density ... 6.46 g/cm3

Unit cell a=4.911 b=4.911 c=3.435 alpha=90.00 beta=90.00 gamma=90.00
Sites, in units of the cell vectors:
Co 0.000 0.000 0.000
Se 0.000 0.500 0.000
Zr 0.500 0.500 0.500
Se 0.500 0.000 0.000
N 0.000 0.000 0.500

[5]
Here is a geometry-optimized ZrCoSe2N structure from the Alexandria database. Energies are from PBE-GGA.

## Properties
Energy above the lowest structure with this stoichiometry ... 2.50 eV/f.u.
Density of states at the Fermi level ... 4.44 states/eV per cell
Density ... 4.68 g/cm3

Unit cell a=5.310 b=5.310 c=4.056 alpha=90.00 beta=90.00 gamma=90.00
Last column: magnetic moment on the atom in μB.
Sites, in units of the cell vectors:
Zr 0.000 0.000 0.000  -0.04
Co 0.500 0.500 0.500  2.32
Se 0.000 0.500 0.000  0.20
N 0.000 0.000 0.500  0.49
Se 0.500 0.000 0.000  0.20

[6]
Here is a geometry-optimized ZrCoSeN2 structure from the Alexandria database. Energies are from PBE-GGA.

## Properties
Energy above the lowest structure with this stoichiometry ... 0.00 eV/f.u.
Density of states at the Fermi level ... 4.43 states/eV per cell
Density ... 6.45 g/cm3

Unit cell a=3.805 b=3.805 c=4.571 alpha=90.00 beta=90.00 gamma=90.00
Last column: magnetic moment on the atom in μB.
Sites, in units of the cell vectors:
Co 0.000 0.000 0.000  0.69
Zr 0.500 0.500 0.500  0.00
N 0.000 0.500 0.000  0.21
N 0.500 0.000 0.000  0.21
Se 0.000 0.000 0.500  0.00

The spin magnetization results, record by record, are as follows: 0.0; 0.0; 4.7; 0.0; 3.7; 1.3 Bohr magnetons per cell.
The E_form (uncorrected) results, record by record, are as follows: -0.49; 0.84; 1.66; -0.09; 0.41; 0.46 eV/atom.